First-principles (meta-GGA SCAN) data for a crystal of CdCo2Te relaxed with PBEsol, as listed in Alexandria.

Lattice parameters (Å, degrees): 3.5416 3.8307 5.0287 90.00 110.62 90.00
With the nearest neighbours (Å) after each atom.
Positions (direct):
Te1 0.1072 0.0000 0.2145  7 Co 2.68-2.70
Cd1 0.3977 0.5000 0.7954  7 Co 2.67-2.70
Co1 0.6815 0.5000 0.3631  2 Co 2.33
Co2 0.8225 0.0000 0.6450  2 Co 2.33

Computed properties:
The formation energy (no corrections) comes out at 0.309 eV/atom. The total moment is 3.1 μB/cell. The calculation puts the energy above the most stable polymorph in this dataset at 0.000 eV/atom. The value obtained for the energy is -101.0 eV/f.u. As for the symmetry: Amm2, No. 38.



First-principles (meta-GGA SCAN) data for a crystal of CdCo2Te relaxed with PBEsol, as listed in Alexandria.

Lattice parameters (Å, degrees): 3.2226 4.3246 4.3246 90.00 90.00 90.00
With the nearest neighbours (Å) after each atom.
Positions (direct):
Co1 0.0000 0.5000 0.0000  4 Cd 2.70, 4 Te 2.70
Te1 0.5000 0.5000 0.5000  8 Co 2.70
Cd1 0.5000 0.0000 0.0000  8 Co 2.70
Co2 0.0000 0.0000 0.5000  4 Cd 2.70, 4 Te 2.70

Computed properties:
The formation energy (no corrections) comes out at 0.441 eV/atom. The total moment is 2.2 μB/cell. The calculation puts the energy above the most stable polymorph in this dataset at 0.132 eV/atom. The value obtained for the energy is -100.5 eV/f.u. As for the symmetry: P4/mmm, No. 123.



First-principles (meta-GGA SCAN) data for a crystal of CdCo2Te2 relaxed with PBEsol, as listed in Alexandria.

Lattice parameters (Å, degrees): 3.6618 3.6618 8.1889 102.92 102.92 90.00
With the nearest neighbours (Å) after each atom.
Positions (direct):
Te1 0.6445 0.6445 0.2891  4 Co 2.46
Co1 0.7500 0.2500 0.5000  4 Te 2.46, 4 Co 2.59
Te2 0.3555 0.3555 0.7109  4 Co 2.46
Co2 0.2500 0.7500 0.5000  4 Te 2.46, 4 Co 2.59
Cd1 0.0000 0.0000 0.0000  8 Te 3.43, 4 Cd 3.66

Computed properties:
The formation energy (no corrections) comes out at 0.101 eV/atom. The total moment is 0.0 μB/cell. The value obtained for the energy is -139.0 eV/f.u. As for the symmetry: I4/mmm, No. 139.



First-principles (meta-GGA SCAN) data for a crystal of Tl2CdCo relaxed with PBEsol, as listed in Alexandria.

Lattice parameters (Å, degrees): 4.8525 4.8525 4.8525 60.00 60.00 60.00
With the nearest neighbours (Å) after each atom.
Positions (direct):
Co1 0.5000 0.5000 0.5000  8 Tl 2.97
Tl1 0.2500 0.2500 0.2500  4 Cd 2.97, 4 Co 2.97
Tl2 0.7500 0.7500 0.7500  4 Cd 2.97, 4 Co 2.97
Cd1 0.0000 0.0000 0.0000  8 Tl 2.97

Computed properties:
The total moment is 1.9 μB/cell. The calculation puts the energy above the most stable polymorph in this dataset at 0.284 eV/atom. The value obtained for the energy is -190.1 eV/f.u. Its energy relative to the elements is 0.5928 eV/atom. As for the symmetry: Fm-3m, No. 225.



First-principles (meta-GGA SCAN) data for a crystal of Tl2CdCo relaxed with PBEsol, as listed in Alexandria.

Lattice parameters (Å, degrees): 3.3027 5.3685 5.6213 117.71 105.87 92.43
With the nearest neighbours (Å) after each atom.
Positions (direct):
Tl1 0.0000 0.0000 0.5000  2 Cd 2.84, 2 Co 2.84, 2 Tl 3.09
Tl2 0.5000 0.5000 0.5000  2 Co 2.84, 2 Cd 2.84, 2 Tl 3.09
Cd1 0.5000 0.0000 0.0000  4 Tl 2.84, 2 Co 3.09
Co1 0.0000 0.5000 0.0000  4 Tl 2.84, 2 Cd 3.09

Computed properties:
The total moment is 1.7 μB/cell. The calculation puts the energy above the most stable polymorph in this dataset at 0.188 eV/atom. The value obtained for the energy is -190.4 eV/f.u. Its energy relative to the elements is 0.4965 eV/atom. As for the symmetry: C2/m, No. 12.



First-principles (meta-GGA SCAN) data for a crystal of Tl2CdCo relaxed with PBEsol, as listed in Alexandria.

Lattice parameters (Å, degrees): 2.9603 4.3602 6.9639 108.24 102.27 90.00
With the nearest neighbours (Å) after each atom.
Positions (direct):
Co1 0.2491 0.7491 0.4981  6 Tl 2.64-2.81, 2 Cd 2.72
Tl1 0.9341 0.9341 0.8682  2 Co 2.81, 2 Tl 2.96
Tl2 0.7447 0.2447 0.4894  4 Co 2.64
Cd1 0.5721 0.5721 0.1443  2 Co 2.72, 2 Cd 2.96

Computed properties:
The total moment is 0.0 μB/cell. The calculation puts the energy above the most stable polymorph in this dataset at 0.074 eV/atom. The value obtained for the energy is -190.9 eV/f.u. Its energy relative to the elements is 0.3823 eV/atom. As for the symmetry: Imm2, No. 44.



First-principles (meta-GGA SCAN) data for a crystal of TlCd2Co relaxed with PBEsol, as listed in Alexandria.

Lattice parameters (Å, degrees): 4.1320 4.1320 5.1354 113.72 113.72 90.00
With the nearest neighbours (Å) after each atom.
Positions (direct):
Cd1 0.0000 0.0000 0.0000  4 Co 2.92, 4 Tl 2.95, 4 Cd 2.95
Cd2 0.7500 0.2500 0.5000  4 Tl 2.92, 4 Cd 2.95, 4 Co 2.95
Tl1 0.2500 0.7500 0.5000  8 Cd 2.92-2.95, 4 Co 2.95
Co1 0.5000 0.5000 0.0000  8 Cd 2.92-2.95, 4 Tl 2.95

Computed properties:
The total moment is 1.7 μB/cell. The calculation puts the energy above the most stable polymorph in this dataset at 0.055 eV/atom. The value obtained for the energy is -148.8 eV/f.u. Its energy relative to the elements is 0.4203 eV/atom. As for the symmetry: I-4m2, No. 119.



First-principles (meta-GGA SCAN) data for a crystal of TlCd2Co relaxed with PBEsol, as listed in Alexandria.

Lattice parameters (Å, degrees): 3.2488 4.9961 4.9961 111.64 90.01 90.01
With the nearest neighbours (Å) after each atom.
Positions (direct):
Cd1 0.0000 0.0000 0.5000  2 Cd 2.81, 4 Co 2.98, 4 Tl 2.98
Cd2 0.0000 0.5000 0.0000  2 Cd 2.81, 4 Tl 2.98, 4 Co 2.98
Co1 0.5000 0.5000 0.5000  2 Tl 2.81, 8 Cd 2.98
Tl1 0.5000 0.0000 0.0000  2 Co 2.81, 8 Cd 2.98

Computed properties:
The total moment is 1.6 μB/cell. The calculation puts the energy above the most stable polymorph in this dataset at 0.000 eV/atom. The value obtained for the energy is -149.0 eV/f.u. Its energy relative to the elements is 0.3654 eV/atom. As for the symmetry: Cmmm, No. 65.